BaSmTa: relaxed, PBE-GGA.

Structure (extended XYZ):
```
12
Lattice="7.550 0.000 0.000 0.000 7.550 0.000 0.000 0.000 7.550" Properties=species:S:1:pos:R:3 pbc="T T T"
Ba 0.000 0.000 0.000
Ba 0.000 3.775 3.775
Ba 3.775 0.000 3.775
Ba 3.775 3.775 0.000
Sm 1.888 1.888 1.888
Sm 1.888 5.663 5.663
Sm 5.663 1.888 5.663
Sm 5.663 5.663 1.888
Ta 0.000 0.000 3.775
Ta 0.000 3.775 0.000
Ta 3.775 0.000 0.000
Ta 3.775 3.775 3.775
```

Relative energy among the computed polymorphs ... 0.000 eV/atom



BaTbSm: relaxed, PBE-GGA.

Structure (extended XYZ):
```
12
Lattice="8.267 0.000 0.000 0.000 8.267 0.000 0.000 0.000 8.267" Properties=species:S:1:pos:R:3 pbc="T T T"
Ba 0.000 0.000 0.000
Ba 0.000 4.133 4.133
Ba 4.133 0.000 4.133
Ba 4.133 4.133 0.000
Tb 0.000 0.000 4.133
Tb 0.000 4.133 0.000
Tb 4.133 0.000 0.000
Tb 4.133 4.133 4.133
Sm 2.067 2.067 2.067
Sm 2.067 6.200 6.200
Sm 6.200 2.067 6.200
Sm 6.200 6.200 2.067
```

Energy ... -2.93 eV per atom



BaSm2Te3: relaxed, PBE-GGA.

Structure (extended XYZ):
```
6
Lattice="4.611 0.000 0.000 -2.305 3.993 0.000 0.000 0.000 11.314" Properties=species:S:1:pos:R:3 pbc="T T T"
Ba 0.000 0.000 0.000
Sm 0.000 2.662 7.304
Sm 2.305 1.331 4.011
Te 0.000 0.000 5.657
Te 0.000 2.662 2.201
Te 2.305 1.331 9.113
```

Energy ... -4.97 eV per atom



BaSmTlTe3: relaxed, PBE-GGA.

Structure (extended XYZ):
```
12
Lattice="2.350 -7.779 0.000 2.350 7.779 0.000 0.000 0.000 11.950" Properties=species:S:1:pos:R:3 pbc="T T T"
Ba 2.350 4.059 8.963
Ba 2.350 -4.059 2.988
Sm 0.000 0.000 0.000
Sm 0.000 0.000 5.975
Tl 2.350 0.508 2.988
Tl 2.350 -0.508 8.963
Te 2.350 6.259 2.988
Te 2.350 2.235 0.323
Te 2.350 2.235 5.652
Te 2.350 -2.235 6.299
Te 2.350 -2.235 11.627
Te 2.350 -6.259 8.963
```

Energy ... -4.15 eV per atom



BaSmZnTe3: relaxed, PBE-GGA.

Structure (extended XYZ):
```
12
Lattice="2.355 -7.391 0.000 2.355 7.391 0.000 0.000 0.000 11.681" Properties=species:S:1:pos:R:3 pbc="T T T"
Ba 2.355 3.782 8.761
Ba 2.355 -3.782 2.920
Sm 0.000 0.000 0.000
Sm 0.000 0.000 5.840
Zn 2.355 0.307 2.920
Zn 2.355 -0.307 8.761
Te 2.355 6.295 2.920
Te 2.355 2.033 0.777
Te 2.355 2.033 5.064
Te 2.355 -2.033 6.617
Te 2.355 -2.033 10.904
Te 2.355 -6.295 8.761
```

Energy ... -4.03 eV per atom



BaSmTl: relaxed, PBE-GGA.

Structure (extended XYZ):
```
12
Lattice="7.933 0.000 0.000 0.000 7.933 0.000 0.000 0.000 7.933" Properties=species:S:1:pos:R:3 pbc="T T T"
Ba 0.000 0.000 0.000
Ba 0.000 3.966 3.966
Ba 3.966 0.000 3.966
Ba 3.966 3.966 0.000
Sm 0.000 0.000 3.966
Sm 0.000 3.966 0.000
Sm 3.966 0.000 0.000
Sm 3.966 3.966 3.966
Tl 1.983 1.983 1.983
Tl 1.983 5.950 5.950
Tl 5.950 1.983 5.950
Tl 5.950 5.950 1.983
```

Relative energy among the computed polymorphs ... 0.000 eV/atom



BaSmU: relaxed, PBE-GGA.

Structure (extended XYZ):
```
12
Lattice="8.098 0.000 0.000 0.000 8.098 0.000 0.000 0.000 8.098" Properties=species:S:1:pos:R:3 pbc="T T T"
Ba 0.000 0.000 0.000
Ba 0.000 4.049 4.049
Ba 4.049 0.000 4.049
Ba 4.049 4.049 0.000
Sm 0.000 0.000 4.049
Sm 0.000 4.049 0.000
Sm 4.049 0.000 0.000
Sm 4.049 4.049 4.049
U 2.025 2.025 2.025
U 2.025 6.074 6.074
U 6.074 2.025 6.074
U 6.074 6.074 2.025
```

Relative energy among the computed polymorphs ... 0.000 eV/atom



BaSmZn4: relaxed, PBE-GGA.

Structure (extended XYZ):
```
12
Lattice="4.608 0.000 0.000 0.000 7.807 0.000 0.000 0.000 7.833" Properties=species:S:1:pos:R:3 pbc="T T T"
Ba 0.000 0.000 0.000
Ba 2.304 3.904 3.917
Sm 0.000 3.904 0.566
Sm 2.304 0.000 4.483
Zn 0.000 1.413 2.990
Zn 0.000 2.263 5.597
Zn 0.000 5.544 5.597
Zn 0.000 6.394 2.990
Zn 2.304 1.640 1.680
Zn 2.304 2.491 6.907
Zn 2.304 5.317 6.907
Zn 2.304 6.167 1.680
```

Energy ... -2.17 eV per atom



BaTbSn2: relaxed, PBE-GGA.

Structure (extended XYZ):
```
8
Lattice="3.503 0.000 0.000 0.000 6.585 0.000 0.000 0.000 12.845" Properties=species:S:1:pos:R:3 pbc="T T T"
Ba 0.000 0.000 0.000
Ba 0.000 3.292 6.423
Tb 0.000 0.000 3.623
Tb 0.000 3.292 10.046
Sn 0.000 0.000 6.600
Sn 0.000 0.000 9.441
Sn 0.000 3.292 0.177
Sn 0.000 3.292 3.018
```

Energy ... -3.56 eV per atom



BaThSn: relaxed, PBE-GGA.

Structure (extended XYZ):
```
12
Lattice="7.738 0.000 0.000 0.000 7.738 0.000 0.000 0.000 7.738" Properties=species:S:1:pos:R:3 pbc="T T T"
Ba 0.000 0.000 0.000
Ba 0.000 3.869 3.869
Ba 3.869 0.000 3.869
Ba 3.869 3.869 0.000
Th 1.935 1.935 1.935
Th 1.935 5.804 5.804
Th 5.804 1.935 5.804
Th 5.804 5.804 1.935
Sn 1.935 1.935 5.804
Sn 1.935 5.804 1.935
Sn 5.804 1.935 1.935
Sn 5.804 5.804 5.804
```

Energy ... -3.74 eV per atom



BaTmSn: relaxed, PBE-GGA.

Structure (extended XYZ):
```
12
Lattice="7.804 0.000 0.000 0.000 7.804 0.000 0.000 0.000 7.804" Properties=species:S:1:pos:R:3 pbc="T T T"
Ba 0.000 0.000 0.000
Ba 0.000 3.902 3.902
Ba 3.902 0.000 3.902
Ba 3.902 3.902 0.000
Tm 1.951 1.951 1.951
Tm 1.951 5.853 5.853
Tm 5.853 1.951 5.853
Tm 5.853 5.853 1.951
Sn 1.951 1.951 5.853
Sn 1.951 5.853 1.951
Sn 5.853 1.951 1.951
Sn 5.853 5.853 5.853
```

Energy ... -3.11 eV per atom



BaTmSn2: relaxed, PBE-GGA.

Structure (extended XYZ):
```
8
Lattice="3.462 0.000 0.000 0.000 6.572 0.000 0.000 0.000 12.816" Properties=species:S:1:pos:R:3 pbc="T T T"
Ba 0.000 0.000 0.000
Ba 0.000 3.286 6.408
Tm 0.000 0.000 9.220
Tm 0.000 3.286 2.812
Sn 0.000 0.000 3.414
Sn 0.000 0.000 6.269
Sn 0.000 3.286 9.822
Sn 0.000 3.286 12.677
```

Energy ... -3.49 eV per atom